No. 1
VASP calculation (PBE) on a geometry-optimized TaW2N structure.

```
TaW2N
1.0
2.849 0.003 -0.001
-0.532 5.178 -0.002
-0.034 -0.019 7.478
N Ta W
2 2 4
Direct
0.292 0.151 0.890 N
0.796 0.652 0.895 N
0.568 0.577 0.398 Ta
0.812 0.321 0.087 Ta
0.079 0.075 0.399 W
0.306 0.819 0.090 W
0.297 0.820 0.702 W
0.803 0.318 0.702 W
```

Output
DOS at the Fermi energy (states/eV per cell): 2.96
ΔE_f (raw) (eV per atom): -0.25
Electronic total energy (eV/cell): -94.2
Space-group type: P1

***

No. 2
VASP calculation (PBE) on a geometry-optimized HfBeOsI2 structure.

```
HfBeOsI2
1.0
-3.378 0.351 3.627
-1.547 -3.789 -1.074
3.159 -2.183 3.154
Be Os I Hf
1 1 2 1
Direct
0.000 0.000 0.000 Be
0.000 0.500 0.000 Os
0.000 0.000 0.500 I
0.500 0.000 0.000 I
0.500 0.500 0.500 Hf
```

Output
DOS at the Fermi energy (states/eV per cell): 6.18
ΔE_f (raw) (eV per atom): 1.16
Electronic total energy (eV/cell): -22.2
Space-group type: P4/mmm